Entry from Alexandria: a relaxed structure of CrRuBr2 (PBE-GGA).

extended XYZ file:
```
4
Lattice="4.177 0.000 0.000 0.000 3.428 0.000 -1.807 0.000 6.896" Properties=species:S:1:pos:R:3 pbc="T T T"
Cr 0.000 0.000 0.000
Ru -0.419 1.714 6.691
Br 0.926 0.000 4.983
Br 3.055 1.714 1.675
```

Values from the calculation:
DOS at the Fermi energy in states/eV/f.u.: 1.1
Energy relative to the elements, uncorrected in eV/atom: 0.205
Uncorrected energy in eV/atom: -5.3563
Distance to the lowest polymorph of the same formula in kJ/mol of atoms: 12.6
Crystal system: monoclinic
Magnetization in μB per cell: 0.000